A relaxed structure of Li2AlAg. Source: Alexandria via LeMat-Bulk, functional PBE-GGA.

Computed properties:
As for the formation energy from the elements: -173.7 meV/atom. As for the theoretical density: 3.83 Mg/m³. The density of states at the Fermi level is 0.23 states/eV per atom. For the magnetic moment, the calculation gives 0.00 μB per atom.

CIF file:
```
data_Li2AlAg
_chemical_formula_sum 'Li4 Al2 Ag2'
_cell_length_a 3.868
_cell_length_b 3.868
_cell_length_c 8.618
_cell_angle_alpha 90.00
_cell_angle_beta 90.00
_cell_angle_gamma 90.00
_space_group_name_H-M_alt 'I 4/m m m'
_space_group_IT_number 139
_space_group_name_Hall '-I 4 2'
loop_
_atom_site_label
_atom_site_type_symbol
_atom_site_fract_x
_atom_site_fract_y
_atom_site_fract_z
Li1 Li 0.000 0.500 0.250
Al1 Al 0.000 0.000 0.000
Ag1 Ag 0.000 0.000 0.500
```

---

A relaxed structure of ZrFeTc. Source: Alexandria via LeMat-Bulk, functional PBE-GGA.

Computed properties:
As for the formation energy from the elements: -272.4 meV/atom. As for the theoretical density: 8.47 Mg/m³. Its energy relative to the lowest polymorph listed for this composition is 0.0000 eV per atom. The density of states at the Fermi level is 0.83 states/eV per atom. For the magnetic moment, the calculation gives 0.67 μB per atom.

CIF file:
```
data_ZrFeTc
_chemical_formula_sum 'Zr4 Fe4 Tc4'
_cell_length_a 5.044
_cell_length_b 5.116
_cell_length_c 7.452
_cell_angle_alpha 90.00
_cell_angle_beta 90.00
_cell_angle_gamma 90.00
_space_group_name_H-M_alt 'I m m a'
_space_group_IT_number 74
_space_group_name_Hall '-I 2b 2'
loop_
_atom_site_label
_atom_site_type_symbol
_atom_site_fract_x
_atom_site_fract_y
_atom_site_fract_z
Zr1 Zr 0.000 0.250 0.125
Fe1 Fe 0.250 0.250 0.750
Tc1 Tc 0.000 0.000 0.500
```

---

A relaxed structure of CsDyInTe3. Source: Alexandria via LeMat-Bulk, functional PBE-GGA.

Computed properties:
As for the theoretical density: 5.39 Mg/m³. Its uncorrected formation energy is -0.991 eV per atom. The density of states at the Fermi level is 0.51 states/eV per atom. For the magnetic moment, the calculation gives 0.00 μB per atom.

CIF file:
```
data_CsDyInTe3
_chemical_formula_sum 'Cs2 Dy2 In2 Te6'
_cell_length_a 10.507
_cell_length_b 4.390
_cell_length_c 11.166
_cell_angle_alpha 90.00
_cell_angle_beta 108.40
_cell_angle_gamma 90.00
_space_group_name_H-M_alt 'P 1 21/m 1'
_space_group_IT_number 11
loop_
_space_group_symop_operation_xyz
'x,y,z'
'-x,-y,-z'
'-x,y+1/2,-z'
'x,-y+1/2,z'
loop_
_atom_site_label
_atom_site_type_symbol
_atom_site_fract_x
_atom_site_fract_y
_atom_site_fract_z
Cs1 Cs 0.193 0.250 0.236
Dy1 Dy 0.357 0.750 0.852
In1 In 0.116 0.250 0.571
Te1 Te 0.139 0.250 0.836
Te2 Te 0.303 0.750 0.562
Te3 Te 0.438 0.750 0.141
```

---

A relaxed structure of LaTbPm3Ho. Source: Alexandria via LeMat-Bulk, functional PBE-GGA.

Computed properties:
As for the formation energy from the elements: 23.6 meV/atom. As for the theoretical density: 7.32 Mg/m³. The density of states at the Fermi level is 1.58 states/eV per atom. For the magnetic moment, the calculation gives 0.00 μB per atom.

CIF file:
```
data_LaTbPm3Ho
_chemical_formula_sum 'La2 Tb2 Pm6 Ho2'
_cell_length_a 8.105
_cell_length_b 5.156
_cell_length_c 10.281
_cell_angle_alpha 90.00
_cell_angle_beta 108.53
_cell_angle_gamma 90.00
_space_group_name_H-M_alt 'P 1 21/m 1'
_space_group_IT_number 11
loop_
_space_group_symop_operation_xyz
'x,y,z'
'-x,-y,-z'
'-x,y+1/2,-z'
'x,-y+1/2,z'
loop_
_atom_site_label
_atom_site_type_symbol
_atom_site_fract_x
_atom_site_fract_y
_atom_site_fract_z
La1 La 0.169 0.250 0.292
Tb1 Tb 0.499 0.250 0.627
Pm1 Pm 0.170 0.250 0.793
Pm2 Pm 0.170 0.750 0.544
Pm3 Pm 0.171 0.750 0.041
Ho1 Ho 0.498 0.750 0.876
```